No. 1
Below is a relaxed structure of CrIn2Cu2, with properties calculated at the PBE level.

Calculated values
crystal system	tetragonal

a = 7.377 Å, b = 7.377 Å, c = 2.984 Å
α = 90.00°, β = 90.00°, γ = 90.00°
Fractional positions:
1 Cr 0.000 0.000 0.000
2 Cr 0.500 0.500 0.000
3 Cu 0.382 0.882 0.000
4 Cu 0.882 0.618 0.000
5 Cu 0.618 0.118 0.000
6 Cu 0.118 0.382 0.000
7 In 0.182 0.682 0.500
8 In 0.682 0.818 0.500
9 In 0.818 0.318 0.500
10 In 0.318 0.182 0.500



No. 2
Below is a relaxed structure of Ta6VMo2, with properties calculated at the PBE level.

Calculated values
crystal system	monoclinic

a = 4.402 Å, b = 6.215 Å, c = 7.600 Å
α = 114.14°, β = 106.89°, γ = 90.00°
Fractional positions:
1 Ta 0.165 0.411 0.330
2 Ta 0.835 0.082 0.670
3 Ta 0.835 0.589 0.670
4 Ta 0.500 0.243 0.000
5 Ta 0.165 0.918 0.330
6 Ta 0.500 0.757 0.000
7 V 0.000 0.000 0.000
8 Mo 0.666 0.666 0.332
9 Mo 0.334 0.334 0.668



| no. | total DFT energy (no corrections) (Ry/atom) |
| --- | --- |
| 1 | -0.30883 |
| 2 | -0.78449 |